## A
Here is an optimized crystal structure of BaMg2Tc from the Alexandria database. Energies are from GGA-PBE.

Values from the calculation:
Its crystal system is tetragonal. As for the total magnetic moment: 1.109 μB per cell.

Structure (CIF):
```
data_BaMg2Tc
_symmetry_space_group_name_H-M 'P 1'
_symmetry_Int_Tables_number 1
_cell_length_a 3.607
_cell_length_b 3.607
_cell_length_c 8.098
_cell_angle_alpha 90.00
_cell_angle_beta 90.00
_cell_angle_gamma 90.00
loop_
_symmetry_equiv_pos_as_xyz
'x,y,z'
loop_
_atom_site_label
_atom_site_type_symbol
_atom_site_fract_x
_atom_site_fract_y
_atom_site_fract_z
_atom_site_occupancy
Ba1 Ba 0.000 0.000 0.000 1
Mg1 Mg 0.000 0.000 0.587 1
Mg2 Mg 0.500 0.500 0.370 1
Tc1 Tc 0.500 0.500 0.717 1
```

=====

## B
Here is an optimized crystal structure of BaMg2Tc from the Alexandria database. Energies are from GGA-PBE.

Values from the calculation:
Its crystal system is tetragonal. As for the total magnetic moment: 3.019 μB per cell.

Structure (CIF):
```
data_BaMg2Tc
_symmetry_space_group_name_H-M 'P 1'
_symmetry_Int_Tables_number 1
_cell_length_a 10.183
_cell_length_b 10.183
_cell_length_c 10.183
_cell_angle_alpha 150.08
_cell_angle_beta 150.08
_cell_angle_gamma 42.82
loop_
_symmetry_equiv_pos_as_xyz
'x,y,z'
loop_
_atom_site_label
_atom_site_type_symbol
_atom_site_fract_x
_atom_site_fract_y
_atom_site_fract_z
_atom_site_occupancy
Ba1 Ba 0.000 0.000 0.000 1
Ba2 Ba 0.750 0.250 0.500 1
Mg1 Mg 0.324 0.625 0.199 1
Mg2 Mg 0.375 0.574 0.699 1
Mg3 Mg 0.426 0.125 0.801 1
Mg4 Mg 0.875 0.676 0.301 1
Tc1 Tc 0.250 0.750 0.500 1
Tc2 Tc 0.500 0.500 0.000 1
```

=====

Tell me which of them is the least stable. Sure, it is B.

=====

## A
Here is an optimized crystal structure of BaMg2Tc from the Alexandria database. Energies are from GGA-PBE.

Values from the calculation:
Its crystal system is tetragonal. As for the total magnetic moment: 1.212 μB per cell.

Structure (CIF):
```
data_BaMg2Tc
_symmetry_space_group_name_H-M 'P 1'
_symmetry_Int_Tables_number 1
_cell_length_a 5.549
_cell_length_b 5.549
_cell_length_c 5.549
_cell_angle_alpha 128.83
_cell_angle_beta 128.83
_cell_angle_gamma 75.29
loop_
_symmetry_equiv_pos_as_xyz
'x,y,z'
loop_
_atom_site_label
_atom_site_type_symbol
_atom_site_fract_x
_atom_site_fract_y
_atom_site_fract_z
_atom_site_occupancy
Ba1 Ba 0.000 0.000 0.000 1
Mg1 Mg 0.250 0.750 0.500 1
Mg2 Mg 0.500 0.500 0.000 1
Tc1 Tc 0.750 0.250 0.500 1
```

=====

## B
Here is an optimized crystal structure of BaMg2Tc from the Alexandria database. Energies are from GGA-PBE.

Values from the calculation:
Its crystal system is trigonal. As for the total magnetic moment: 0.860 μB per cell.

Structure (CIF):
```
data_BaMg2Tc
_symmetry_space_group_name_H-M 'P 1'
_symmetry_Int_Tables_number 1
_cell_length_a 10.981
_cell_length_b 10.981
_cell_length_c 10.981
_cell_angle_alpha 16.73
_cell_angle_beta 16.73
_cell_angle_gamma 16.73
loop_
_symmetry_equiv_pos_as_xyz
'x,y,z'
loop_
_atom_site_label
_atom_site_type_symbol
_atom_site_fract_x
_atom_site_fract_y
_atom_site_fract_z
_atom_site_occupancy
Ba1 Ba 0.000 0.000 0.000 1
Mg1 Mg 0.232 0.232 0.232 1
Mg2 Mg 0.768 0.768 0.768 1
Tc1 Tc 0.500 0.500 0.500 1
```

=====

Tell me which of them is the least stable. Sure, it is A.

=====

## A
Here is an optimized crystal structure of Ba2Mg2Tc from the Alexandria database. Energies are from GGA-PBE.

Values from the calculation:
Its crystal system is tetragonal. As for the total magnetic moment: 2.729 μB per cell.

Structure (CIF):
```
data_Ba2Mg2Tc
_symmetry_space_group_name_H-M 'P 1'
_symmetry_Int_Tables_number 1
_cell_length_a 7.480
_cell_length_b 7.480
_cell_length_c 5.742
_cell_angle_alpha 90.00
_cell_angle_beta 90.00
_cell_angle_gamma 90.00
loop_
_symmetry_equiv_pos_as_xyz
'x,y,z'
loop_
_atom_site_label
_atom_site_type_symbol
_atom_site_fract_x
_atom_site_fract_y
_atom_site_fract_z
_atom_site_occupancy
Ba1 Ba 0.186 0.314 0.000 1
Ba2 Ba 0.314 0.814 0.000 1
Ba3 Ba 0.686 0.186 0.000 1
Ba4 Ba 0.814 0.686 0.000 1
Mg1 Mg 0.148 0.648 0.500 1
Mg2 Mg 0.352 0.148 0.500 1
Mg3 Mg 0.648 0.852 0.500 1
Mg4 Mg 0.852 0.352 0.500 1
Tc1 Tc 0.000 0.000 0.500 1
Tc2 Tc 0.500 0.500 0.500 1
```

=====

## B
Here is an optimized crystal structure of Ba2Mg2Tc from the Alexandria database. Energies are from GGA-PBE.

Values from the calculation:
Its crystal system is tetragonal. As for the total magnetic moment: 0.001 μB per cell.

Structure (CIF):
```
data_Ba2Mg2Tc
_symmetry_space_group_name_H-M 'P 1'
_symmetry_Int_Tables_number 1
_cell_length_a 8.468
_cell_length_b 8.468
_cell_length_c 8.468
_cell_angle_alpha 149.98
_cell_angle_beta 149.98
_cell_angle_gamma 42.97
loop_
_symmetry_equiv_pos_as_xyz
'x,y,z'
loop_
_atom_site_label
_atom_site_type_symbol
_atom_site_fract_x
_atom_site_fract_y
_atom_site_fract_z
_atom_site_occupancy
Ba1 Ba 0.250 0.750 0.500 1
Ba2 Ba 0.750 0.250 0.500 1
Mg1 Mg 0.080 0.080 0.000 1
Mg2 Mg 0.920 0.920 0.000 1
Tc1 Tc 0.500 0.500 0.000 1
```

=====

Tell me which of them is the least stable. Sure, it is B.

=====

## A
Here is an optimized crystal structure of BaMg3Tc from the Alexandria database. Energies are from GGA-PBE.

Values from the calculation:
Its crystal system is cubic. As for the total magnetic moment: 3.586 μB per cell.

Structure (CIF):
```
data_BaMg3Tc
_symmetry_space_group_name_H-M 'P 1'
_symmetry_Int_Tables_number 1
_cell_length_a 6.142
_cell_length_b 6.142
_cell_length_c 6.142
_cell_angle_alpha 90.00
_cell_angle_beta 90.00
_cell_angle_gamma 90.00
loop_
_symmetry_equiv_pos_as_xyz
'x,y,z'
loop_
_atom_site_label
_atom_site_type_symbol
_atom_site_fract_x
_atom_site_fract_y
_atom_site_fract_z
_atom_site_occupancy
Ba1 Ba 0.000 0.000 0.000 1
Mg1 Mg 0.000 0.000 0.500 1
Mg2 Mg 0.000 0.500 0.000 1
Mg3 Mg 0.500 0.000 0.000 1
Tc1 Tc 0.500 0.500 0.500 1
```

=====

## B
Here is an optimized crystal structure of BaMg3Tc from the Alexandria database. Energies are from GGA-PBE.

Values from the calculation:
Its crystal system is cubic. As for the total magnetic moment: 0.000 μB per cell.

Structure (CIF):
```
data_BaMg3Tc
_symmetry_space_group_name_H-M 'P 1'
_symmetry_Int_Tables_number 1
_cell_length_a 5.220
_cell_length_b 5.220
_cell_length_c 5.220
_cell_angle_alpha 90.00
_cell_angle_beta 90.00
_cell_angle_gamma 90.00
loop_
_symmetry_equiv_pos_as_xyz
'x,y,z'
loop_
_atom_site_label
_atom_site_type_symbol
_atom_site_fract_x
_atom_site_fract_y
_atom_site_fract_z
_atom_site_occupancy
Ba1 Ba 0.000 0.000 0.000 1
Mg1 Mg 0.000 0.500 0.500 1
Mg2 Mg 0.500 0.000 0.500 1
Mg3 Mg 0.500 0.500 0.000 1
Tc1 Tc 0.500 0.500 0.500 1
```

=====

Tell me which of them is the least stable. Sure, it is A.

=====

## A
Here is an optimized crystal structure of BaMg2Tc2 from the Alexandria database. Energies are from GGA-PBE.

Values from the calculation:
Its crystal system is tetragonal. As for the total magnetic moment: 0.000 μB per cell.

Structure (CIF):
```
data_BaMg2Tc2
_symmetry_space_group_name_H-M 'P 1'
_symmetry_Int_Tables_number 1
_cell_length_a 8.591
_cell_length_b 8.591
_cell_length_c 2.967
_cell_angle_alpha 90.00
_cell_angle_beta 90.00
_cell_angle_gamma 90.00
loop_
_symmetry_equiv_pos_as_xyz
'x,y,z'
loop_
_atom_site_label
_atom_site_type_symbol
_atom_site_fract_x
_atom_site_fract_y
_atom_site_fract_z
_atom_site_occupancy
Ba1 Ba 0.000 0.000 0.000 1
Ba2 Ba 0.500 0.500 0.000 1
Mg1 Mg 0.181 0.319 0.000 1
Mg2 Mg 0.319 0.819 0.000 1
Mg3 Mg 0.681 0.181 0.000 1
Mg4 Mg 0.819 0.681 0.000 1
Tc1 Tc 0.094 0.594 0.500 1
Tc2 Tc 0.406 0.094 0.500 1
Tc3 Tc 0.594 0.906 0.500 1
Tc4 Tc 0.906 0.406 0.500 1
```

=====

## B
Here is an optimized crystal structure of BaMg2Tc2 from the Alexandria database. Energies are from GGA-PBE.

Values from the calculation:
Its crystal system is tetragonal. As for the total magnetic moment: 0.000 μB per cell.

Structure (CIF):
```
data_BaMg2Tc2
_symmetry_space_group_name_H-M 'P 1'
_symmetry_Int_Tables_number 1
_cell_length_a 10.719
_cell_length_b 10.719
_cell_length_c 10.719
_cell_angle_alpha 161.02
_cell_angle_beta 161.02
_cell_angle_gamma 26.97
loop_
_symmetry_equiv_pos_as_xyz
'x,y,z'
loop_
_atom_site_label
_atom_site_type_symbol
_atom_site_fract_x
_atom_site_fract_y
_atom_site_fract_z
_atom_site_occupancy
Ba1 Ba 0.000 0.000 0.000 1
Mg1 Mg 0.361 0.361 0.000 1
Mg2 Mg 0.639 0.639 0.000 1
Tc1 Tc 0.250 0.750 0.500 1
Tc2 Tc 0.750 0.250 0.500 1
```

=====

Tell me which of them is the least stable. Sure, it is A.

=====

## A
Here is an optimized crystal structure of BaMgTe from the Alexandria database. Energies are from GGA-PBE.

Values from the calculation:
Its crystal system is trigonal. As for the total magnetic moment: 0.000 μB per cell.

Structure (CIF):
```
data_BaMgTe
_symmetry_space_group_name_H-M 'P 1'
_symmetry_Int_Tables_number 1
_cell_length_a 5.167
_cell_length_b 5.167
_cell_length_c 4.550
_cell_angle_alpha 90.00
_cell_angle_beta 90.00
_cell_angle_gamma 120.00
loop_
_symmetry_equiv_pos_as_xyz
'x,y,z'
loop_
_atom_site_label
_atom_site_type_symbol
_atom_site_fract_x
_atom_site_fract_y
_atom_site_fract_z
_atom_site_occupancy
Ba1 Ba 0.000 0.000 0.000 1
Mg1 Mg 0.667 0.333 0.491 1
Te1 Te 0.333 0.667 0.503 1
```

=====

## B
Here is an optimized crystal structure of BaMgTe from the Alexandria database. Energies are from GGA-PBE.

Values from the calculation:
Its crystal system is tetragonal. As for the total magnetic moment: 0.000 μB per cell.

Structure (CIF):
```
data_BaMgTe
_symmetry_space_group_name_H-M 'P 1'
_symmetry_Int_Tables_number 1
_cell_length_a 6.767
_cell_length_b 6.767
_cell_length_c 6.767
_cell_angle_alpha 144.58
_cell_angle_beta 144.58
_cell_angle_gamma 50.96
loop_
_symmetry_equiv_pos_as_xyz
'x,y,z'
loop_
_atom_site_label
_atom_site_type_symbol
_atom_site_fract_x
_atom_site_fract_y
_atom_site_fract_z
_atom_site_occupancy
Ba1 Ba 0.000 0.000 0.000 1
Mg1 Mg 0.299 0.299 0.000 1
Te1 Te 0.690 0.690 0.000 1
```

=====

## C
Here is an optimized crystal structure of BaMgTe from the Alexandria database. Energies are from GGA-PBE.

Values from the calculation:
Its crystal system is cubic. As for the total magnetic moment: 0.001 μB per cell.

Structure (CIF):
```
data_BaMgTe
_symmetry_space_group_name_H-M 'P 1'
_symmetry_Int_Tables_number 1
_cell_length_a 5.777
_cell_length_b 5.777
_cell_length_c 5.777
_cell_angle_alpha 60.00
_cell_angle_beta 60.00
_cell_angle_gamma 60.00
loop_
_symmetry_equiv_pos_as_xyz
'x,y,z'
loop_
_atom_site_label
_atom_site_type_symbol
_atom_site_fract_x
_atom_site_fract_y
_atom_site_fract_z
_atom_site_occupancy
Ba1 Ba 0.000 0.000 0.000 1
Mg1 Mg 0.500 0.500 0.500 1
Te1 Te 0.750 0.750 0.750 1
```

=====

Tell me which of them is the least stable. Sure, it is C.

=====

## A
Here is an optimized crystal structure of Ba2Mg2Te from the Alexandria database. Energies are from GGA-PBE.

Values from the calculation:
Its crystal system is tetragonal. As for the total magnetic moment: 0.000 μB per cell.

Structure (CIF):
```
data_Ba2Mg2Te
_symmetry_space_group_name_H-M 'P 1'
_symmetry_Int_Tables_number 1
_cell_length_a 8.488
_cell_length_b 8.488
_cell_length_c 5.299
_cell_angle_alpha 90.00
_cell_angle_beta 90.00
_cell_angle_gamma 90.00
loop_
_symmetry_equiv_pos_as_xyz
'x,y,z'
loop_
_atom_site_label
_atom_site_type_symbol
_atom_site_fract_x
_atom_site_fract_y
_atom_site_fract_z
_atom_site_occupancy
Ba1 Ba 0.175 0.325 0.000 1
Ba2 Ba 0.325 0.825 0.000 1
Ba3 Ba 0.675 0.175 0.000 1
Ba4 Ba 0.825 0.675 0.000 1
Mg1 Mg 0.125 0.625 0.500 1
Mg2 Mg 0.375 0.125 0.500 1
Mg3 Mg 0.625 0.875 0.500 1
Mg4 Mg 0.875 0.375 0.500 1
Te1 Te 0.000 0.000 0.500 1
Te2 Te 0.500 0.500 0.500 1
```

=====

## B
Here is an optimized crystal structure of Ba2Mg2Te from the Alexandria database. Energies are from GGA-PBE.

Values from the calculation:
Its crystal system is tetragonal. As for the total magnetic moment: 0.000 μB per cell.

Structure (CIF):
```
data_Ba2Mg2Te
_symmetry_space_group_name_H-M 'P 1'
_symmetry_Int_Tables_number 1
_cell_length_a 6.528
_cell_length_b 6.528
_cell_length_c 6.528
_cell_angle_alpha 116.00
_cell_angle_beta 116.00
_cell_angle_gamma 97.08
loop_
_symmetry_equiv_pos_as_xyz
'x,y,z'
loop_
_atom_site_label
_atom_site_type_symbol
_atom_site_fract_x
_atom_site_fract_y
_atom_site_fract_z
_atom_site_occupancy
Ba1 Ba 0.250 0.750 0.500 1
Ba2 Ba 0.750 0.250 0.500 1
Mg1 Mg 0.160 0.160 0.000 1
Mg2 Mg 0.840 0.840 0.000 1
Te1 Te 0.500 0.500 0.000 1
```

=====

Tell me which of them is the least stable. Sure, it is B.

=====

## A
Here is an optimized crystal structure of BaMgTe3 from the Alexandria database. Energies are from GGA-PBE.

Values from the calculation:
Its crystal system is cubic. As for the total magnetic moment: 0.000 μB per cell.

Structure (CIF):
```
data_BaMgTe3
_symmetry_space_group_name_H-M 'P 1'
_symmetry_Int_Tables_number 1
_cell_length_a 5.595
_cell_length_b 5.595
_cell_length_c 5.595
_cell_angle_alpha 90.00
_cell_angle_beta 90.00
_cell_angle_gamma 90.00
loop_
_symmetry_equiv_pos_as_xyz
'x,y,z'
loop_
_atom_site_label
_atom_site_type_symbol
_atom_site_fract_x
_atom_site_fract_y
_atom_site_fract_z
_atom_site_occupancy
Ba1 Ba 0.000 0.000 0.000 1
Mg1 Mg 0.500 0.500 0.500 1
Te1 Te 0.000 0.500 0.500 1
Te2 Te 0.500 0.000 0.500 1
Te3 Te 0.500 0.500 0.000 1
```

=====

## B
Here is an optimized crystal structure of BaMgTe3 from the Alexandria database. Energies are from GGA-PBE.

Values from the calculation:
Its crystal system is cubic. As for the total magnetic moment: 2.115 μB per cell.

Structure (CIF):
```
data_BaMgTe3
_symmetry_space_group_name_H-M 'P 1'
_symmetry_Int_Tables_number 1
_cell_length_a 6.476
_cell_length_b 6.476
_cell_length_c 6.476
_cell_angle_alpha 90.00
_cell_angle_beta 90.00
_cell_angle_gamma 90.00
loop_
_symmetry_equiv_pos_as_xyz
'x,y,z'
loop_
_atom_site_label
_atom_site_type_symbol
_atom_site_fract_x
_atom_site_fract_y
_atom_site_fract_z
_atom_site_occupancy
Ba1 Ba 0.000 0.000 0.000 1
Mg1 Mg 0.500 0.500 0.500 1
Te1 Te 0.000 0.000 0.500 1
Te2 Te 0.000 0.500 0.000 1
Te3 Te 0.500 0.000 0.000 1
```

=====

Tell me which of them is the least stable. Sure, it is B.